First-principles (GGA-PBE) data for an optimized crystal structure of MgNpH6Ir, as listed in Alexandria.

The space group is P-6m2 (No. 187) and the conventional cell measures 4.6213, 4.6213 and 4.4833 Å, with angles of 90.00, 90.00 and 120.00 degrees. The asymmetric unit holds Mg at (0.0000, 0.0000, 0.0000), Np at (0.6667, 0.3333, 0.5000), H at (0.1842, 0.3685, 0.2867) and Ir at (0.3333, 0.6667, 0.0000).

As for the theoretical density: 9.2 g/cm³. The value obtained for the electronic total energy is -4.969 eV per atom. The density of states at the Fermi level is 13.5 states/eV per cell. As for the volume: 83 Å³/cell. Its total magnetic moment is 4.8 μB/f.u.